Computed, not measured: an optimized crystal structure of ZrZn2As at the PBE-GGA level of DFT.

Calculated values
SG: R3m, No. 160
ΔE_f: -0.05 eV/atom
theoretical density: 6.572 g cm⁻³
density of states at the Fermi level: 0.886 states/eV/atom

Cell lengths 3.134, 3.134, 26.470 Å; angles 90.00, 90.00, 120.00 degrees
Element x y z (fractional)
Zr1 0.000 0.000 0.000
Zr2 0.333 0.667 0.667
Zr3 0.667 0.333 0.333
Zn1 0.000 0.000 0.245
Zn2 0.000 0.000 0.501
Zn3 0.333 0.667 0.168
Zn4 0.333 0.667 0.911
Zn5 0.667 0.333 0.578
Zn6 0.667 0.333 0.835
As1 0.000 0.000 0.751
As2 0.333 0.667 0.417
As3 0.667 0.333 0.084